# MnVI2O

MnVI2O after structural relaxation (PBE+U, Alexandria via LeMat-Bulk).

Results
For the density of states at the Fermi level, the calculation gives 0.266 states/eV per atom. The calculated total energy comes out at -25.008 eV for the cell shown. The calculation puts the energy relative to the lowest polymorph listed for this composition at 0 meV per atom.

POSCAR file:
```
MnVI2O
1.0
5.797 0.000 0.000
0.000 5.797 0.000
0.000 0.000 3.748
I Mn O V
2 1 1 1
Cartesian
0.000 2.899 0.000
2.899 0.000 0.000
2.899 2.899 1.874
0.000 0.000 1.874
0.000 0.000 0.000
```